[1]
DFT (PBE) results for an optimized crystal structure of VHPd4.

Values from the calculation:
Volume   13.232 A^3/atom
Total moment   1.3 μB per formula unit
Raw total energy   -135.0 eV/cell
Crystal system   orthorhombic

```
data_VHPd4
_cell_length_a 4.107
_cell_length_b 14.078
_cell_length_c 5.493
_cell_angle_alpha 90.00
_cell_angle_beta 90.00
_cell_angle_gamma 90.00
_space_group_name_H-M_alt 'C m c 21'
_space_group_IT_number 36
loop_
_space_group_symop_operation_xyz
'x,y,z'
'-x,-y,z+1/2'
'-x,y,z'
'x,-y,z+1/2'
'x+1/2,y+1/2,z'
'-x+1/2,-y+1/2,z+1/2'
'-x+1/2,y+1/2,z'
'x+1/2,-y+1/2,z+1/2'
loop_
_atom_site_label
_atom_site_type_symbol
_atom_site_fract_x
_atom_site_fract_y
_atom_site_fract_z
_atom_site_occupancy
V1 V 0.000 0.115 0.000 1
H1 H 0.000 0.403 0.002 1
Pd1 Pd 0.000 0.092 0.501 1
Pd2 Pd 0.000 0.308 0.254 1
Pd3 Pd 0.000 0.309 0.746 1
Pd4 Pd 0.000 0.499 0.253 1
```

[2]
DFT (PBE) results for an optimized crystal structure of SrSiCl3.

Values from the calculation:
Uncorrected formation energy   -892 meV per atom
Volume   27.929 A^3/atom
Total moment   0.0 μB per formula unit
Raw total energy   -17.1 eV/cell
Crystal system   cubic

```
data_SrSiCl3
_cell_length_a 5.188
_cell_length_b 5.188
_cell_length_c 5.188
_cell_angle_alpha 90.00
_cell_angle_beta 90.00
_cell_angle_gamma 90.00
_space_group_name_H-M_alt 'P m -3 m'
_space_group_IT_number 221
_space_group_name_Hall '-P 4 2 3'
loop_
_atom_site_label
_atom_site_type_symbol
_atom_site_fract_x
_atom_site_fract_y
_atom_site_fract_z
_atom_site_occupancy
Sr1 Sr 0.000 0.000 0.000 1
Si1 Si 0.500 0.500 0.500 1
Cl1 Cl 0.000 0.500 0.500 1
```

[3]
DFT (PBE) results for an optimized crystal structure of Rb2CdBr5.

Values from the calculation:
Uncorrected formation energy   -1061 meV per atom
Volume   45.844 A^3/atom
Total moment   0.5 μB per formula unit
Raw total energy   -78.8 eV/cell
Crystal system   orthorhombic

```
data_Rb2CdBr5
_cell_length_a 6.174
_cell_length_b 17.367
_cell_length_c 13.683
_cell_angle_alpha 90.00
_cell_angle_beta 90.00
_cell_angle_gamma 90.00
_space_group_name_H-M_alt 'C m c m'
_space_group_IT_number 63
_space_group_name_Hall '-C 2c 2'
loop_
_atom_site_label
_atom_site_type_symbol
_atom_site_fract_x
_atom_site_fract_y
_atom_site_fract_z
_atom_site_occupancy
Rb1 Rb 0.000 0.157 0.088 1
Cd1 Cd 0.000 0.159 0.750 1
Br1 Br 0.000 0.037 0.622 1
Br2 Br 0.000 0.270 0.611 1
Br3 Br 0.000 0.322 0.250 1
```

[4]
DFT (PBE) results for an optimized crystal structure of LaHSe.

Values from the calculation:
Volume   21.979 A^3/atom
Total moment   0.0 μB per formula unit
Raw total energy   -29.7 eV/cell
Crystal system   tetragonal

```
data_LaHSe
_cell_length_a 4.010
_cell_length_b 4.010
_cell_length_c 8.202
_cell_angle_alpha 90.00
_cell_angle_beta 90.00
_cell_angle_gamma 90.00
_space_group_name_H-M_alt 'I 4 m m'
_space_group_IT_number 107
_space_group_name_Hall 'I 4 -2'
loop_
_atom_site_label
_atom_site_type_symbol
_atom_site_fract_x
_atom_site_fract_y
_atom_site_fract_z
_atom_site_occupancy
La1 La 0.000 0.000 0.000 1
H1 H 0.000 0.000 0.715 1
Se1 Se 0.000 0.000 0.366 1
```